# 1
VASP calculation (SCAN) on a crystal of CdIn2Ir relaxed with PBEsol.

## Properties
- ΔE_f: -101 meV per atom

abc: 2.9270 4.5062 6.9590
angles: 108.89 102.14 90.00
With the nearest neighbours (Å) after each atom.
Sites, in units of the cell vectors:
Ir: 0.4956 0.9956 0.9911  6 In 2.69-2.78, 2 Cd 2.86, 2 Ir 2.93
In: 0.0062 0.5062 0.0124  4 Ir 2.69, 2 In 2.93
In: 0.8115 0.8115 0.6230  2 Ir 2.78, 2 In 2.93
Cd: 0.1867 0.1867 0.3734  2 Ir 2.86, 2 Cd 2.93, 4 In 3.13

---

# 2
VASP calculation (SCAN) on a crystal of NiPtCl2 relaxed with PBEsol.

## Properties
- Formation energy from raw total energies: 0.225 eV/atom
- Offset from the most stable computed form: 0 meV per atom

abc: 2.9632 3.8199 5.7206
angles: 90.00 90.00 90.00
With the nearest neighbours (Å) after each atom.
Sites, in units of the cell vectors:
Ni: 0.5000 0.5000 0.0000  4 Cl 2.42
Pt: 0.0000 0.5000 0.5000  4 Cl 2.42
Cl: 0.0000 0.0000 0.0000  4 Ni 2.42
Cl: 0.5000 0.0000 0.5000  4 Pt 2.42

---

# 3
VASP calculation (SCAN) on a crystal of Na2Ga2Pt relaxed with PBEsol.

## Properties
- ΔE_f: -399 meV per atom

abc: 5.0040 6.4331 6.4331
angles: 90.00 90.00 90.00
With the nearest neighbours (Å) after each atom.
Sites, in units of the cell vectors:
Pt: 0.0000 0.5000 0.5000  4 Ga 2.47
Pt: 0.0000 0.0000 0.0000  4 Ga 2.47
Na: 0.5000 0.3173 0.1827  6 Ga 2.96-3.27
Na: 0.5000 0.1827 0.6827  6 Ga 2.96-3.27
Ga: 0.0000 0.3568 0.8568  2 Pt 2.47, 1 Ga 2.61
Na: 0.5000 0.8173 0.3173  6 Ga 2.96-3.27
Na: 0.5000 0.6827 0.8173  6 Ga 2.96-3.27
Ga: 0.0000 0.1432 0.3568  2 Pt 2.47, 1 Ga 2.61
Ga: 0.0000 0.8568 0.6432  2 Pt 2.47, 1 Ga 2.61
Ga: 0.0000 0.6432 0.1432  2 Pt 2.47, 1 Ga 2.61

---

# 4
VASP calculation (SCAN) on a crystal of Zr2CoTcTe relaxed with PBEsol.

## Properties
- Formation energy from raw total energies: 0.466 eV/atom

abc: 4.2161 5.0457 5.0457
angles: 90.00 90.00 90.00
With the nearest neighbours (Å) after each atom.
Sites, in units of the cell vectors:
Zr: 0.0000 0.0000 0.5000  2 Tc 2.52
Zr: 0.0000 0.5000 0.0000  2 Tc 2.52
Tc: 0.0000 0.0000 0.0000  2 Co 2.11
Te: 0.5000 0.5000 0.5000  8 Zr 3.29, 4 Co 3.57
Co: 0.5000 0.0000 0.0000  2 Tc 2.11

---

# 5
VASP calculation (SCAN) on a crystal of BeSiRh2 relaxed with PBEsol.

## Properties
- Formation energy from raw total energies: -0.543 eV/atom
- Offset from the most stable computed form: 440 meV per atom

abc: 2.7980 2.7980 7.3087
angles: 78.96 78.96 60.00
With the nearest neighbours (Å) after each atom.
Sites, in units of the cell vectors:
Si: 0.5000 0.5000 0.5000  6 Rh 2.44
Be: 0.0000 0.0000 0.0000  6 Rh 2.37
Rh: 0.2523 0.2523 0.2430  3 Be 2.37, 3 Si 2.44
Rh: 0.7477 0.7477 0.7570  3 Be 2.37, 3 Si 2.44

---

# 6
VASP calculation (SCAN) on a crystal of NdCuO2 relaxed with PBEsol.

## Properties
- Formation energy from raw total energies: -2.479 eV/atom

abc: 3.7136 3.7136 6.0285
angles: 72.06 72.06 60.00
With the nearest neighbours (Å) after each atom.
Sites, in units of the cell vectors:
O: 0.8939 0.8939 0.3183  1 Cu 1.79
Nd: 0.5000 0.5000 0.5000  6 O 2.38
Cu: 0.0000 0.0000 0.0000  2 O 1.79
O: 0.1061 0.1061 0.6817  1 Cu 1.79

---

# 7
VASP calculation (SCAN) on a crystal of BaPbSe3 relaxed with PBEsol.

## Properties
- Formation energy from raw total energies: -0.816 eV/atom

abc: 5.4089 5.4089 5.4089
angles: 90.00 90.00 90.00
With the nearest neighbours (Å) after each atom.
Sites, in units of the cell vectors:
Se: 0.0000 0.0000 0.5000  2 Pb 2.70
Ba: 0.5000 0.5000 0.5000  12 Se 3.82
Pb: 0.0000 0.0000 0.0000  6 Se 2.70
Se: 0.0000 0.5000 0.0000  2 Pb 2.70
Se: 0.5000 0.0000 0.0000  2 Pb 2.70

---

# 8
VASP calculation (SCAN) on a crystal of Zn3Tc4 relaxed with PBEsol.

## Properties
- ΔE_f: -77 meV per atom

abc: 2.9721 2.9721 11.1673
angles: 97.65 97.65 90.00
With the nearest neighbours (Å) after each atom.
Sites, in units of the cell vectors:
Tc: 0.4258 0.4258 0.8516  4 Tc 2.52, 4 Zn 2.66
Tc: 0.5742 0.5742 0.1484  4 Tc 2.52, 4 Zn 2.66
Zn: 0.0000 0.0000 0.0000  8 Tc 2.66, 4 Zn 2.97
Tc: 0.1377 0.1377 0.2754  4 Tc 2.52, 4 Zn 2.71
Zn: 0.2846 0.2846 0.5692  4 Zn 2.59, 4 Tc 2.71
Zn: 0.7154 0.7154 0.4308  4 Zn 2.59, 4 Tc 2.71
Tc: 0.8623 0.8623 0.7246  4 Tc 2.52, 4 Zn 2.71